# Sm3Tm2PuSe6 (PBE, relaxed)
# crystal system = monoclinic
# final energy = -6.60 eV/atom
# Fermi-level density of states = 17.2 states/eV/cell
# E_form (uncorrected) = -20.87 eV per formula unit
data_Sm3Tm2PuSe6
_space_group_name_H-M_alt 'C 1 2/m 1'
_space_group_IT_number 12
_cell_length_a 17.988
_cell_length_b 4.081
_cell_length_c 8.292
_cell_angle_alpha 90.00
_cell_angle_beta 103.79
_cell_angle_gamma 90.00
loop_
_space_group_symop_operation_xyz
'x,y,z'
'-x,-y,-z'
'-x,y,-z'
'x,-y,z'
'x+1/2,y+1/2,z'
'-x+1/2,-y+1/2,-z'
'-x+1/2,y+1/2,-z'
'x+1/2,-y+1/2,z'
loop_
_atom_site_label
_atom_site_fract_x
_atom_site_fract_y
_atom_site_fract_z
Sm1 0.000 0.000 0.000
Sm2 0.164 0.500 0.335
Tm1 0.164 0.500 0.828
Pu1 0.000 0.000 0.500
Se1 0.003 0.500 0.750
Se2 0.168 0.000 0.593
Se3 0.171 0.000 0.075